Entry from Alexandria via LeMat-Bulk: TcRuBr after structural relaxation (PBE).

Total energy: -0.2280 hartree per atom
Uncorrected formation energy: 901 meV per atom
SG: F-43m
ΔE to the lowest computed polymorph: 0.362 eV/atom
Size of the total moment: 0.00 μB/f.u.

Cell lengths 4.252, 4.252, 4.252 Å; angles 60.00, 60.00, 60.00 degrees
Fractional coordinates of all 3 atoms:
Tc 0.750 0.750 0.750
Ru 0.500 0.500 0.500
Br 0.000 0.000 0.000